Computed, not measured: Pr4SnCl5 after structural relaxation at the PBE-GGA level of DFT.

The value obtained for the total energy is -4.87 eV/atom.

It has space group C2/m (No. 12), with a = 18.2359 Å, b = 4.1939 Å, c = 8.7028 Å, α = 90.00°, β = 101.01° and γ = 90.00°. The asymmetric unit holds Pr at (0.0009, 0.0000, 0.2489), Pr at (0.1667, 0.5000, 0.0798), Sn at (0.0000, 0.5000, 0.0000), Cl at (0.0000, 0.5000, 0.5000), Cl at (0.1648, 0.0000, 0.3100) and Cl at (0.1678, 0.0000, 0.8394).


Computed, not measured: Ag2B2I after structural relaxation at the PBE-GGA level of DFT.

The value obtained for the total energy is -2.44 eV/atom.

It has space group I4/mmm (No. 139), with a = 4.6367 Å, b = 4.6367 Å, c = 8.6390 Å, α = 90.00°, β = 90.00° and γ = 90.00°. The asymmetric unit holds Ag at (0.0000, 0.0000, 0.1545), B at (0.0000, 0.5000, 0.0000) and I at (0.0000, 0.0000, 0.5000).


Computed, not measured: LiCoBiW after structural relaxation at the PBE-GGA level of DFT.

The calculation puts the energy relative to the lowest polymorph listed for this composition at 0.0 meV/atom.

It has space group F-43m (No. 216), with a = 6.3122 Å, b = 6.3122 Å, c = 6.3122 Å, α = 90.00°, β = 90.00° and γ = 90.00°. The asymmetric unit holds Li at (0.0000, 0.0000, 0.0000), Co at (0.0000, 0.0000, 0.5000), Bi at (0.2500, 0.2500, 0.2500) and W at (0.2500, 0.2500, 0.7500).


Computed, not measured: Lu5Au2O2 after structural relaxation at the PBE-GGA level of DFT.

The value obtained for the total energy is -5.88 eV/atom.

It has space group Cmce (No. 64), with a = 10.4745 Å, b = 6.6136 Å, c = 10.5817 Å, α = 90.00°, β = 90.00° and γ = 90.00°. The asymmetric unit holds Lu at (0.0000, 0.0000, 0.0000), Lu at (0.1694, 0.1597, 0.3750), Au at (0.0000, 0.1693, 0.6786) and O at (0.2077, 0.0000, 0.0000).